Entry 1:
8
Lattice="5.858 0.000 0.000 0.000 8.424 0.000 0.000 0.000 3.713" Properties=species:S:1:pos:R:3 comment="AlSbSe2 (PBE, optimized geometry)" formation_energy_uncorrected_ev_per_atom=-0.138 polymorph_energy_kj_per_mol_atoms=34.1 pbc="T T T"
Al 0.000 0.000 0.000
Al 2.929 4.212 0.000
Sb 0.000 4.212 0.000
Sb 2.929 0.000 0.000
Se 0.000 1.880 1.856
Se 0.000 6.544 1.856
Se 2.929 2.332 1.856
Se 2.929 6.093 1.856

=====

Entry 2:
5
Lattice="4.410 0.000 0.000 0.000 4.410 0.000 0.000 0.000 4.410" Properties=species:S:1:pos:R:3 comment="Cr3InAs (PBE, optimized geometry)" e_form_mev_per_atom=914 polymorph_energy_kj_per_mol_atoms=0.0 pbc="T T T"
Cr 0.000 0.000 2.205
Cr 0.000 2.205 0.000
Cr 2.205 0.000 0.000
In 2.205 2.205 2.205
As 0.000 0.000 0.000

=====

Entry 3:
12
Lattice="8.131 0.000 0.000 0.000 4.464 0.000 -3.974 0.000 6.757" Properties=species:S:1:pos:R:3 comment="GaBiRu (PBE, optimized geometry)" e_form_mev_per_atom=70 pbc="T T T"
Ga 0.021 0.000 2.556
Ga 0.070 2.232 4.201
Ga 4.087 2.232 2.556
Ga 4.135 0.000 4.201
Bi -2.666 2.232 5.783
Bi 2.757 0.000 0.974
Bi 1.400 0.000 5.783
Bi 6.822 2.232 0.974
Ru -1.282 0.000 4.719
Ru 1.373 2.232 2.038
Ru 2.784 2.232 4.719
Ru 5.438 0.000 2.038

=====

Entry 4:
10
Lattice="2.946 1.701 4.808 -2.946 1.701 4.808 0.000 -3.401 4.808" Properties=species:S:1:pos:R:3 comment="K2TlReO6 (PBE, optimized geometry)" formation_energy_uncorrected_ev_per_atom=-1.420 pbc="T T T"
K 0.000 0.000 3.607
K 0.000 0.000 10.817
Tl 0.000 0.000 0.000
Re 0.000 0.000 7.212
O -0.054 -1.548 6.116
O -1.367 -0.727 8.308
O -1.314 0.820 6.116
O 1.314 -0.820 8.308
O 1.367 0.727 6.116
O 0.054 1.548 8.308

=====

Entry 5:
8
Lattice="4.267 0.000 0.000 0.000 4.267 0.000 0.000 0.000 8.935" Properties=species:S:1:pos:R:3 comment="Tl2SiMo (PBE, optimized geometry)" formation_energy_uncorrected_ev_per_atom=0.819 polymorph_energy_kj_per_mol_atoms=51.1 pbc="T T T"
Tl 0.000 0.000 0.000
Tl 0.000 2.133 2.234
Tl 2.133 0.000 6.701
Tl 2.133 2.133 4.468
Si 0.000 0.000 4.468
Si 2.133 2.133 0.000
Mo 0.000 2.133 6.701
Mo 2.133 0.000 2.234

=====

Entry 6:
19
Lattice="-5.075 5.075 5.075 5.075 -5.075 5.075 5.075 5.075 -5.075" Properties=species:S:1:pos:R:3 comment="Pr12Ni6Sn (PBE, optimized geometry)" e_form_mev_per_atom=-285 pbc="T T T"
Pr 5.075 -1.958 3.195
Pr 3.117 1.880 0.000
Pr 7.033 1.880 0.000
Pr 3.195 5.075 -1.958
Pr 1.880 0.000 3.117
Pr 0.000 3.117 1.880
Pr 5.075 1.958 3.195
Pr 3.195 5.075 1.958
Pr 1.880 0.000 7.033
Pr -1.958 3.195 5.075
Pr 1.958 3.195 5.075
Pr 0.000 7.033 1.880
Ni 5.075 0.000 1.227
Ni 5.075 3.848 0.000
Ni 1.227 5.075 0.000
Ni 3.848 0.000 5.075
Ni 0.000 1.227 5.075
Ni 0.000 5.075 3.848
Sn 0.000 0.000 0.000

=====

Number 4 is which compound?
K2TlReO6